(1)
NaTmTe3Au, relaxed, DFT PBE; symmetry = Cmcm
1.0
2.064 -7.661 0.000
2.064 7.661 0.000
0.000 0.000 11.082
Na Tm Te Au
2 2 6 2
direct
0.227 0.773 0.750 Na
0.773 0.227 0.250 Na
0.000 0.000 0.000 Tm
0.000 0.000 0.500 Tm
0.092 0.908 0.250 Te
0.359 0.641 0.054 Te
0.359 0.641 0.446 Te
0.641 0.359 0.554 Te
0.641 0.359 0.946 Te
0.908 0.092 0.750 Te
0.469 0.531 0.250 Au
0.531 0.469 0.750 Au

(2)
KTl3Pd2O6, relaxed, DFT PBE; symmetry = P-3m1
1.0
6.224 0.000 0.000
-3.112 5.390 0.000
0.000 0.000 7.048
K Tl Pd O
1 3 2 6
direct
0.000 0.000 0.000 K
0.000 0.000 0.500 Tl
0.333 0.667 0.252 Tl
0.667 0.333 0.748 Tl
0.333 0.667 0.694 Pd
0.667 0.333 0.306 Pd
0.158 0.315 0.715 O
0.158 0.842 0.715 O
0.315 0.158 0.285 O
0.685 0.842 0.715 O
0.842 0.158 0.285 O
0.842 0.685 0.285 O

(3)
RbHfIn, relaxed, DFT PBE; symmetry = F-43m
1.0
0.000 3.671 3.671
3.671 0.000 3.671
3.671 3.671 0.000
Rb Hf In
1 1 1
direct
0.000 0.000 0.000 Rb
0.750 0.750 0.750 Hf
0.500 0.500 0.500 In

(4)
PmAsIrO, relaxed, DFT PBE; symmetry = P4/nmm
1.0
4.596 0.000 0.000
0.000 4.596 0.000
0.000 0.000 6.991
Pm As Ir O
2 2 2 2
direct
0.250 0.750 0.000 Pm
0.750 0.250 0.000 Pm
0.250 0.250 0.423 As
0.750 0.750 0.577 As
0.250 0.250 0.772 Ir
0.750 0.750 0.228 Ir
0.250 0.750 0.500 O
0.750 0.250 0.500 O

(5)
LiCdPt2, relaxed, DFT PBE; symmetry = P4/mmm
1.0
3.070 0.000 0.000
0.000 3.070 0.000
0.000 0.000 6.483
Li Cd Pt
1 1 2
direct
0.000 0.000 0.000 Li
0.000 0.000 0.500 Cd
0.500 0.500 0.218 Pt
0.500 0.500 0.782 Pt

(6)
HoHPd3, relaxed, DFT PBE; symmetry = Pm-3m
1.0
4.139 0.000 0.000
0.000 4.139 0.000
0.000 0.000 4.139
Ho H Pd
1 1 3
direct
0.000 0.000 0.000 Ho
0.500 0.500 0.500 H
0.000 0.500 0.500 Pd
0.500 0.000 0.500 Pd
0.500 0.500 0.000 Pd

(7)
GdTmPbC, relaxed, DFT PBE; symmetry = P6_3mc
1.0
3.630 0.000 0.000
-1.815 3.144 0.000
0.000 0.000 16.121
Gd Tm Pb C
2 2 2 2
direct
0.333 0.667 0.000 Gd
0.667 0.333 0.500 Gd
0.333 0.667 0.335 Tm
0.667 0.333 0.835 Tm
0.333 0.667 0.670 Pb
0.667 0.333 0.170 Pb
0.000 0.000 0.415 C
0.000 0.000 0.915 C

(8)
BeIr2, relaxed, DFT PBE; symmetry = Fd-3m
1.0
0.000 3.599 3.599
3.599 0.000 3.599
3.599 3.599 0.000
Be Ir
2 4
direct
0.125 0.125 0.125 Be
0.875 0.875 0.875 Be
0.000 0.500 0.500 Ir
0.500 0.000 0.500 Ir
0.500 0.500 0.000 Ir
0.500 0.500 0.500 Ir

(9)
LiPrTlCd, relaxed, DFT PBE; symmetry = F-43m
1.0
0.000 3.693 3.693
3.693 0.000 3.693
3.693 3.693 0.000
Li Pr Tl Cd
1 1 1 1
direct
0.000 0.000 0.000 Li
0.500 0.500 0.500 Pr
0.250 0.250 0.250 Tl
0.750 0.750 0.750 Cd

(10)
BaTmPb, relaxed, DFT PBE; symmetry = F-43m
1.0
0.000 3.928 3.928
3.928 0.000 3.928
3.928 3.928 0.000
Ba Tm Pb
1 1 1
direct
0.000 0.000 0.000 Ba
0.500 0.500 0.500 Tm
0.250 0.250 0.250 Pb

(11)
TlAg3PtO4, relaxed, DFT PBE; symmetry = P-43m
1.0
5.341 0.000 0.000
0.000 5.341 0.000
0.000 0.000 5.341
Tl Ag Pt O
1 3 1 4
direct
0.000 0.000 0.000 Tl
0.000 0.500 0.500 Ag
0.500 0.000 0.500 Ag
0.500 0.500 0.000 Ag
0.500 0.500 0.500 Pt
0.241 0.241 0.241 O
0.241 0.759 0.759 O
0.759 0.241 0.759 O
0.759 0.759 0.241 O

(12)
Ho2Fe3Ge5, relaxed, DFT PBE; symmetry = Ibam
1.0
-4.771 6.038 2.799
4.771 -6.038 2.799
4.771 6.038 -2.799
Ho Fe Ge
4 6 10
direct
0.143 0.230 0.373 Ho
0.357 0.730 0.087 Ho
0.643 0.270 0.913 Ho
0.857 0.770 0.627 Ho
0.146 0.910 0.057 Fe
0.250 0.750 0.500 Fe
0.354 0.410 0.764 Fe
0.646 0.590 0.236 Fe
0.750 0.250 0.500 Fe
0.854 0.090 0.943 Fe
0.040 0.750 0.290 Ge
0.085 0.678 0.763 Ge
0.250 0.250 0.000 Ge
0.415 0.178 0.593 Ge
0.460 0.750 0.710 Ge
0.540 0.250 0.290 Ge
0.585 0.822 0.407 Ge
0.750 0.750 0.000 Ge
0.915 0.322 0.237 Ge
0.960 0.250 0.710 Ge

Respective final energy values: -46.87; -53.21; -10.34; -47.38; -16.47; -27.16; -48.02; -39.05; -11.29; -10.45; -34.83; -123.93 eV for the cell shown.